A plane-wave DFT calculation with PBE was carried out for a geometry-optimized HoErPu2S4 structure.

a = 3.8403 Å, b = 6.6444 Å, c = 9.5778 Å
α = 133.93°, β = 90.00°, γ = 90.00°
Site moments in Bohr magnetons follow the coordinates.
Sites, in units of the cell vectors:
S 0.5000 0.0723 0.2398  -0.06
Ho 0.0000 0.0000 0.0000  0.07
S 0.0000 0.4266 0.7609  -0.06
S 0.5000 0.9277 0.7602  -0.06
Pu 0.0000 0.5000 0.5000  5.49
Pu 0.5000 0.0000 0.5000  5.49
Er 0.5000 0.5000 0.0000  0.07
S 0.0000 0.5734 0.2391  -0.06

Computed properties:
As for the space-group type: P2/m, No. 10. As for the calculated total energy: -8.528 eV per atom. The calculation puts the formation energy from raw total energies at -1.74 eV/atom.